Record 1
A geometry-optimized TeRhN2F structure, computed with PBE-GGA.

The energy above the most stable polymorph in this dataset comes out at 1280 meV per atom. As for the energy relative to the elements, uncorrected: 192 kJ/mol of atoms.

The space group is P4/mmm (No. 123) and the conventional cell measures 4.0227, 4.0227 and 4.2252 Å, with angles of 90.00, 90.00 and 90.00 degrees. The asymmetric unit holds Te at (0.0000, 0.0000, 0.0000), Rh at (0.5000, 0.5000, 0.0000), N at (0.0000, 0.5000, 0.5000) and F at (0.0000, 0.0000, 0.5000).

Record 2
A geometry-optimized YPuInRu structure, computed with PBE-GGA.

The energy above the most stable polymorph in this dataset comes out at 181 meV per atom.

The space group is F-43m (No. 216) and the conventional cell measures 7.1712, 7.1712 and 7.1712 Å, with angles of 90.00, 90.00 and 90.00 degrees. The asymmetric unit holds Y at (0.0000, 0.0000, 0.0000), Pu at (0.0000, 0.0000, 0.5000), In at (0.2500, 0.2500, 0.7500) and Ru at (0.2500, 0.2500, 0.2500).

Record 3
A geometry-optimized La2Ce3Ru2 structure, computed with PBE-GGA.

The space group is C2/m (No. 12) and the conventional cell measures 11.9858, 3.7862 and 8.7700 Å, with angles of 90.00, 111.33 and 90.00 degrees. The asymmetric unit holds La at (0.1603, 0.0000, 0.2963), Ce at (0.0000, 0.5000, 0.5000), Ce at (0.1219, 0.5000, 0.9349) and Ru at (0.1282, 0.0000, 0.7215).

Record 4
A geometry-optimized Pm5Zn2O2 structure, computed with PBE-GGA.

As for the energy relative to the elements, uncorrected: -128 kJ/mol of atoms.

The space group is Imma (No. 74) and the conventional cell measures 6.9969, 18.2313 and 6.8528 Å, with angles of 90.00, 90.00 and 90.00 degrees. The asymmetric unit holds Pm at (0.0000, 0.1368, 0.1043), Pm at (0.2500, 0.0242, 0.7500), Pm at (0.2500, 0.2500, 0.7500), Zn at (0.0000, 0.1298, 0.5310), O at (0.0000, 0.0000, 0.0000) and O at (0.0000, 0.2500, 0.9800).

Number 1: VASP energy -19.082 eV per cell. Number 2: VASP energy -133.051 eV per cell. Number 3: VASP energy -96.018 eV per cell. Number 4: VASP energy -192.721 eV per cell.